Computed, not measured: a relaxed TlSnS3 crystal at the PBE level of DFT.

Total DFT energy (no corrections) (eV/atom): -3.8952
Space group: C2/m (12)
Formation energy without anion corrections (eV per atom): -0.145
Polymorph energy (0 for the lowest one) (eV/atom): 0.0000

Unit cell a=3.716 b=10.215 c=7.398 alpha=95.15 beta=90.00 gamma=100.48
Atoms (fractional coordinates):
Tl 0.899 0.797 0.079
Sn 0.380 0.760 0.630
S 0.170 0.340 0.578
S 0.033 0.066 0.278
S 0.684 0.368 0.105
S 0.967 0.934 0.722
Tl 0.101 0.203 0.921
S 0.316 0.632 0.895
S 0.830 0.660 0.422
Sn 0.620 0.240 0.370

Computed, not measured: a relaxed Tl2SnS2 crystal at the PBE level of DFT.

Total DFT energy (no corrections) (eV/atom): -3.6509
Space group: Pbam (55)
Formation energy without anion corrections (eV per atom): -0.253
Polymorph energy (0 for the lowest one) (eV/atom): 0.1145

Unit cell a=3.864 b=6.117 c=11.842 alpha=90.00 beta=90.00 gamma=90.00
Atoms (fractional coordinates):
Tl 0.000 0.568 0.162
S 0.500 0.311 0.641
Tl 0.000 0.932 0.662
S 0.500 0.811 0.859
Sn 0.000 0.500 0.500
S 0.500 0.689 0.359
Tl 0.000 0.432 0.838
S 0.500 0.189 0.141
Tl 0.000 0.068 0.338
Sn 0.000 0.000 0.000

Computed, not measured: a relaxed Tl2Sn2S3 crystal at the PBE level of DFT.

Total DFT energy (no corrections) (eV/atom): -3.9974
Space group: C2/c (15)
Formation energy without anion corrections (eV per atom): -0.409
Polymorph energy (0 for the lowest one) (eV/atom): 0.0000

Unit cell a=8.342 b=8.342 c=7.174 alpha=75.77 beta=75.77 gamma=58.75
Atoms (fractional coordinates):
Tl 0.231 0.016 0.484
Sn 0.505 0.259 0.959
Sn 0.495 0.741 0.041
Tl 0.769 0.984 0.516
S 0.407 0.593 0.750
S 0.191 0.360 0.190
Tl 0.016 0.231 0.984
Sn 0.741 0.495 0.541
Sn 0.259 0.505 0.459
S 0.593 0.407 0.250
Tl 0.984 0.769 0.016
S 0.640 0.809 0.310
S 0.809 0.640 0.810
S 0.360 0.191 0.690

Computed, not measured: a relaxed Tl5SnS4 crystal at the PBE level of DFT.

Total DFT energy (no corrections) (eV/atom): -3.5683
Space group: C2/m (12)
Formation energy without anion corrections (eV per atom): -0.334
Polymorph energy (0 for the lowest one) (eV/atom): 0.0000

Unit cell a=4.096 b=8.276 c=9.379 alpha=107.12 beta=102.61 gamma=90.00
Atoms (fractional coordinates):
Tl 0.500 0.500 0.000
S 0.019 0.234 0.039
Tl 0.184 0.314 0.368
Tl 0.816 0.686 0.632
Tl 0.160 0.802 0.319
S 0.981 0.766 0.961
Sn 0.500 0.000 0.000
S 0.345 0.954 0.690
Tl 0.840 0.198 0.681
S 0.655 0.046 0.310

Computed, not measured: a relaxed Tl4SnS5 crystal at the PBE level of DFT.

Total DFT energy (no corrections) (eV/atom): -3.6622
Space group: I4 (79)
Formation energy without anion corrections (eV per atom): -0.252

Unit cell a=6.210 b=7.205 c=7.205 alpha=79.30 beta=64.47 gamma=64.47
Atoms (fractional coordinates):
Tl 0.197 0.211 0.400
Tl 0.597 0.600 0.211
S 0.091 0.640 0.168
Sn 0.058 0.000 0.000
S 0.731 0.168 0.360
S 0.259 0.832 0.640
Tl 0.809 0.789 0.600
Tl 0.408 0.400 0.789
S 0.899 0.360 0.832
S 0.462 0.000 0.000

Computed, not measured: a relaxed TlSn3S6 crystal at the PBE level of DFT.

Total DFT energy (no corrections) (eV/atom): -4.2554
Space group: P2_1/m (11)
Formation energy without anion corrections (eV per atom): -0.341
Polymorph energy (0 for the lowest one) (eV/atom): 0.0000

Unit cell a=3.748 b=11.926 c=13.534 alpha=105.20 beta=90.00 gamma=90.00
Atoms (fractional coordinates):
S 0.750 0.356 0.893
Sn 0.250 0.996 0.121
S 0.250 0.492 0.720
S 0.250 0.865 0.938
Sn 0.750 0.425 0.583
Sn 0.250 0.286 0.762
Sn 0.750 0.714 0.238
Tl 0.750 0.636 0.916
S 0.750 0.135 0.062
S 0.750 0.508 0.280
S 0.750 0.930 0.230
S 0.250 0.070 0.770
Sn 0.250 0.575 0.417
S 0.750 0.633 0.554
S 0.250 0.367 0.446
S 0.250 0.644 0.107
Tl 0.250 0.364 0.084
Sn 0.750 0.004 0.879
S 0.750 0.225 0.622
S 0.250 0.775 0.378

no.,volume (Å³/cell)
1,275
2,280
3,409
4,296
5,263
6,584